This record from Alexandria via LeMat-Bulk describes crystalline TlSbAs at its relaxed geometry. The functional is PBE.

Unit cell a=3.8293 b=3.8293 c=7.5870 alpha=90.17 beta=90.17 gamma=60.01
Element x y z (fractional)
Tl 0.9580 0.9580 0.6530
Sb 0.9598 0.9598 0.2144
As 0.2923 0.2923 0.0086

Calculated values
E_tot: -3.65 eV/atom
crystal system: monoclinic
ΔE_f (raw): 0.067 eV per atom
energy above the most stable polymorph in this dataset: 0.125 eV per formula unit
magnetization: 0.00 μB per atom

***

This record from Alexandria via LeMat-Bulk describes crystalline Tl4SbAs at its relaxed geometry. The functional is PBE.

Unit cell a=6.3874 b=6.3874 c=6.3874 alpha=60.00 beta=60.00 gamma=60.00
Element x y z (fractional)
Tl 0.8743 0.3752 0.3752
Tl 0.3752 0.3752 0.8743
Tl 0.3752 0.8743 0.3752
Tl 0.3752 0.3752 0.3752
Sb 0.0000 0.0000 0.0000
As 0.7500 0.7500 0.7500

Calculated values
E_tot: -2.67 eV/atom
crystal system: cubic
ΔE_f (raw): 0.368 eV per atom
energy above the most stable polymorph in this dataset: 2.020 eV per formula unit
magnetization: 0.00 μB per atom

***

This record from Alexandria via LeMat-Bulk describes crystalline TlSb2As at its relaxed geometry. The functional is PBE.

Unit cell a=5.6216 b=3.1932 c=6.4171 alpha=89.91 beta=90.00 gamma=90.00
Element x y z (fractional)
Sb 0.0000 0.9996 0.9710
Sb 0.5000 0.9996 0.2395
Tl 0.0000 0.4986 0.4685
As 0.5000 0.0022 0.8210

Calculated values
E_tot: -3.70 eV/atom
crystal system: monoclinic
ΔE_f (raw): 0.113 eV per atom
energy above the most stable polymorph in this dataset: 0.000 eV per formula unit
magnetization: 0.00 μB per atom

***

This record from Alexandria via LeMat-Bulk describes crystalline TlSb2As at its relaxed geometry. The functional is PBE.

Unit cell a=5.9317 b=5.9317 c=5.8530 alpha=69.65 beta=69.65 gamma=37.20
Element x y z (fractional)
Sb 0.9573 0.9573 0.0926
Sb 0.5427 0.5427 0.4074
Tl 0.7500 0.7500 0.7500
As 0.2500 0.2500 0.2500

Calculated values
E_tot: -3.69 eV/atom
crystal system: monoclinic
ΔE_f (raw): 0.126 eV per atom
energy above the most stable polymorph in this dataset: 0.050 eV per formula unit
magnetization: 0.00 μB per atom

***

This record from Alexandria via LeMat-Bulk describes crystalline TlSbAs2 at its relaxed geometry. The functional is PBE.

Unit cell a=5.8494 b=5.8494 c=5.9938 alpha=70.37 beta=70.37 gamma=35.88
Element x y z (fractional)
Sb 0.7500 0.7500 0.7500
Tl 0.2500 0.2500 0.2500
As 0.0200 0.0200 0.8843
As 0.4800 0.4800 0.6157

Calculated values
E_tot: -3.81 eV/atom
crystal system: monoclinic
ΔE_f (raw): 0.135 eV per atom
energy above the most stable polymorph in this dataset: 0.120 eV per formula unit
magnetization: 0.00 μB per atom

***

This record from Alexandria via LeMat-Bulk describes crystalline TlSb2As at its relaxed geometry. The functional is PBE.

Unit cell a=9.3481 b=9.3481 c=9.3481 alpha=23.62 beta=23.62 gamma=23.62
Element x y z (fractional)
Sb 0.0167 0.0167 0.0167
Sb 0.4833 0.4833 0.4833
Tl 0.2500 0.2500 0.2500
As 0.7500 0.7500 0.7500

Calculated values
E_tot: -3.70 eV/atom
crystal system: trigonal
ΔE_f (raw): 0.113 eV per atom
energy above the most stable polymorph in this dataset: 0.000 eV per formula unit
magnetization: 0.00 μB per atom

***

This record from Alexandria via LeMat-Bulk describes crystalline TlSb2As at its relaxed geometry. The functional is PBE.

Unit cell a=5.2931 b=3.1845 c=6.5721 alpha=90.08 beta=90.00 gamma=90.00
Element x y z (fractional)
Sb 0.0000 0.7502 0.9746
Sb 0.0000 0.7498 0.5254
Tl 0.5000 0.2500 0.2500
As 0.5000 0.7500 0.7500

Calculated values
E_tot: -3.68 eV/atom
crystal system: monoclinic
ΔE_f (raw): 0.140 eV per atom
energy above the most stable polymorph in this dataset: 0.107 eV per formula unit
magnetization: 0.00 μB per atom

***

This record from Alexandria via LeMat-Bulk describes crystalline TlSbAs2 at its relaxed geometry. The functional is PBE.

Unit cell a=6.9100 b=6.9100 c=6.9100 alpha=150.28 beta=134.34 gamma=55.44
Element x y z (fractional)
Sb 0.4586 0.4586 0.0000
Tl 0.2241 0.7241 0.5000
As 0.9808 0.9808 0.0000
As 0.8365 0.3365 0.5000

Calculated values
E_tot: -3.77 eV/atom
crystal system: orthorhombic
ΔE_f (raw): 0.178 eV per atom
energy above the most stable polymorph in this dataset: 0.291 eV per formula unit
magnetization: 0.00 μB per atom

***

This record from Alexandria via LeMat-Bulk describes crystalline TlSb2As at its relaxed geometry. The functional is PBE.

Unit cell a=6.2783 b=6.2783 c=6.2783 alpha=145.45 beta=128.97 gamma=63.10
Element x y z (fractional)
Sb 0.0420 0.0420 0.0000
Sb 0.4580 0.4580 0.0000
Tl 0.7500 0.2500 0.5000
As 0.2500 0.7500 0.5000

Calculated values
E_tot: -3.66 eV/atom
crystal system: orthorhombic
ΔE_f (raw): 0.154 eV per atom
energy above the most stable polymorph in this dataset: 0.164 eV per formula unit
magnetization: 0.00 μB per atom

***

This record from Alexandria via LeMat-Bulk describes crystalline Tl3SbAs at its relaxed geometry. The functional is PBE.

Unit cell a=7.3956 b=8.6649 c=9.9028 alpha=106.50 beta=90.00 gamma=90.00
Element x y z (fractional)
Tl 0.9843 0.1862 0.2637
Tl 0.0157 0.8138 0.7363
Tl 0.4843 0.8138 0.2363
Tl 0.5157 0.1862 0.7637
Tl 0.4953 0.2408 0.3487
Tl 0.5047 0.7592 0.6513
Tl 0.9953 0.7592 0.1513
Tl 0.0047 0.2408 0.8487
Tl 0.8063 0.4198 0.6019
Tl 0.1937 0.5802 0.3981
Tl 0.3063 0.5802 0.8981
Tl 0.6937 0.4198 0.1019
Sb 0.7992 0.9690 0.4942
Sb 0.2008 0.0310 0.5058
Sb 0.2992 0.0310 0.0058
Sb 0.7008 0.9690 0.9942
As 0.2851 0.3572 0.0990
As 0.7149 0.6428 0.9010
As 0.7851 0.6428 0.4010
As 0.2149 0.3572 0.5990

Calculated values
E_tot: -3.16 eV/atom
crystal system: monoclinic
ΔE_f (raw): 0.011 eV per atom
energy above the most stable polymorph in this dataset: 0.000 eV per formula unit
magnetization: 0.00 μB per atom

***

This record from Alexandria via LeMat-Bulk describes crystalline TlSbAs2 at its relaxed geometry. The functional is PBE.

Unit cell a=5.1263 b=5.1263 c=5.1263 alpha=60.00 beta=60.00 gamma=60.00
Element x y z (fractional)
Sb 0.5000 0.5000 0.5000
Tl 0.7500 0.7500 0.7500
As 0.0000 0.0000 0.0000
As 0.2500 0.2500 0.2500

Calculated values
E_tot: -3.54 eV/atom
crystal system: cubic
ΔE_f (raw): 0.407 eV per atom
energy above the most stable polymorph in this dataset: 1.211 eV per formula unit
magnetization: 0.00 μB per atom

***

This record from Alexandria via LeMat-Bulk describes crystalline Tl2SbAs at its relaxed geometry. The functional is PBE.

Unit cell a=5.0068 b=3.2514 c=7.1592 alpha=79.30 beta=90.00 gamma=90.00
Element x y z (fractional)
Sb 0.5000 0.5823 0.7203
Tl 0.0000 0.9601 0.9761
Tl 0.5000 0.2865 0.2860
As 0.0000 0.6710 0.5176

Calculated values
E_tot: -3.28 eV/atom
crystal system: monoclinic
ΔE_f (raw): 0.093 eV per atom
energy above the most stable polymorph in this dataset: 0.292 eV per formula unit
magnetization: 0.00 μB per atom

***

This record from Alexandria via LeMat-Bulk describes crystalline TlSbAs2 at its relaxed geometry. The functional is PBE.

Unit cell a=5.1963 b=3.0923 c=6.4878 alpha=90.01 beta=90.00 gamma=90.00
Element x y z (fractional)
Sb 0.0000 0.2503 0.4575
Tl 0.5000 0.7499 0.7748
As 0.0000 0.2495 0.0395
As 0.5000 0.2504 0.2282

Calculated values
E_tot: -3.78 eV/atom
crystal system: orthorhombic
ΔE_f (raw): 0.170 eV per atom
energy above the most stable polymorph in this dataset: 0.259 eV per formula unit
magnetization: 0.00 μB per atom

***

This record from Alexandria via LeMat-Bulk describes crystalline TlSbAs2 at its relaxed geometry. The functional is PBE.

Unit cell a=10.8831 b=10.8831 c=10.8831 alpha=17.05 beta=17.05 gamma=17.05
Element x y z (fractional)
Sb 0.2500 0.2500 0.2500
Tl 0.7500 0.7500 0.7500
As 0.9978 0.9978 0.9978
As 0.5022 0.5022 0.5022

Calculated values
E_tot: -3.56 eV/atom
crystal system: trigonal
ΔE_f (raw): 0.388 eV per atom
energy above the most stable polymorph in this dataset: 1.135 eV per formula unit
magnetization: 0.00 μB per atom

***

This record from Alexandria via LeMat-Bulk describes crystalline TlSb2As at its relaxed geometry. The functional is PBE.

Unit cell a=6.0238 b=6.0238 c=5.9040 alpha=70.88 beta=70.88 gamma=36.38
Element x y z (fractional)
Sb 0.9848 0.9848 0.0130
Sb 0.7268 0.7268 0.8491
Tl 0.5167 0.5167 0.4865
As 0.2717 0.2717 0.1513

Calculated values
E_tot: -3.69 eV/atom
crystal system: monoclinic
ΔE_f (raw): 0.124 eV per atom
energy above the most stable polymorph in this dataset: 0.042 eV per formula unit
magnetization: 0.00 μB per atom

***

This record from Alexandria via LeMat-Bulk describes crystalline TlSb2As at its relaxed geometry. The functional is PBE.

Unit cell a=4.0852 b=4.0852 c=7.0391 alpha=90.00 beta=90.00 gamma=90.00
Element x y z (fractional)
Sb 0.0000 0.0000 0.9558
Sb 0.5000 0.5000 0.2303
Tl 0.0000 0.0000 0.4646
As 0.5000 0.5000 0.8493

Calculated values
E_tot: -3.67 eV/atom
crystal system: tetragonal
ΔE_f (raw): 0.147 eV per atom
energy above the most stable polymorph in this dataset: 0.136 eV per formula unit
magnetization: 0.00 μB per atom

***

This record from Alexandria via LeMat-Bulk describes crystalline Tl8Sb2As at its relaxed geometry. The functional is PBE.

Unit cell a=4.6683 b=8.1510 c=12.3380 alpha=128.99 beta=100.91 gamma=90.00
Element x y z (fractional)
Tl 0.5950 0.6585 0.1899
Tl 0.3407 0.6778 0.6813
Tl 0.1970 0.0796 0.3941
Tl 0.9975 0.2297 0.9949
Tl 0.8030 0.9204 0.6059
Tl 0.6593 0.3222 0.3187
Tl 0.4050 0.3415 0.8101
Tl 0.0025 0.7703 0.0051
Sb 0.1864 0.6512 0.3728
Sb 0.8136 0.3488 0.6272
As 0.5000 0.0000 0.0000

Calculated values
E_tot: -2.89 eV/atom
crystal system: monoclinic
ΔE_f (raw): 0.004 eV per atom
magnetization: 0.00 μB per atom

***

This record from Alexandria via LeMat-Bulk describes crystalline Tl2SbAs at its relaxed geometry. The functional is PBE.

Unit cell a=3.9237 b=3.9237 c=7.7232 alpha=90.00 beta=90.00 gamma=90.00
Element x y z (fractional)
Sb 0.5000 0.5000 0.6895
Tl 0.0000 0.0000 0.9670
Tl 0.5000 0.5000 0.2805
As 0.0000 0.0000 0.5630

Calculated values
E_tot: -3.33 eV/atom
crystal system: tetragonal
ΔE_f (raw): 0.050 eV per atom
energy above the most stable polymorph in this dataset: 0.121 eV per formula unit
magnetization: 0.00 μB per atom

***

This record from Alexandria via LeMat-Bulk describes crystalline TlSbAs at its relaxed geometry. The functional is PBE.

Unit cell a=5.0411 b=5.0411 c=5.0411 alpha=60.00 beta=60.00 gamma=60.00
Element x y z (fractional)
Sb 0.0000 0.0000 0.0000
Tl 0.5000 0.5000 0.5000
As 0.2500 0.2500 0.2500

Calculated values
E_tot: -3.45 eV/atom
crystal system: cubic
ΔE_f (raw): 0.261 eV per atom
energy above the most stable polymorph in this dataset: 0.708 eV per formula unit
magnetization: 0.00 μB per atom

***

This record from Alexandria via LeMat-Bulk describes crystalline TlSbAs at its relaxed geometry. The functional is PBE.

Unit cell a=6.6174 b=6.6174 c=6.6174 alpha=147.48 beta=147.48 gamma=46.65
Element x y z (fractional)
Sb 0.3711 0.3711 0.0000
Tl 0.6600 0.6600 0.0000
As 0.9689 0.9689 0.0000

Calculated values
E_tot: -3.66 eV/atom
crystal system: tetragonal
ΔE_f (raw): 0.052 eV per atom
energy above the most stable polymorph in this dataset: 0.081 eV per formula unit
magnetization: 0.00 μB per atom